Record 1
CaC2Se | PBE | relaxed

Cell: 5.3972 5.3972 5.3972 Å, 115.60 115.60 97.81°
Closest atoms and distances in Å follow each position.
Atoms (fractional coordinates):
Ca1 0.0000 0.0000 0.0000  4 C 2.55
Ca2 0.7500 0.2500 0.5000  4 C 2.55
C1 0.2079 0.6250 0.0829  2 Se 1.94
C2 0.3750 0.4579 0.5829  2 Se 1.94
C3 0.5421 0.1250 0.9171  2 Se 1.94
C4 0.8750 0.7921 0.4171  2 Se 1.94
Se1 0.2500 0.7500 0.5000  4 C 1.94
Se2 0.5000 0.5000 0.0000  4 C 1.94

Results
**ΔE_f (raw)**: 0.945 eV/atom
**Symmetry**: I-42d

***

Record 2
Ca2CSe | PBE | relaxed

Cell: 6.3548 6.3548 6.3548 Å, 112.49 112.49 103.59°
Closest atoms and distances in Å follow each position.
Atoms (fractional coordinates):
Ca1 0.0802 0.1250 0.4552  2 C 2.49
Ca2 0.3750 0.9198 0.0448  2 C 2.49
Ca3 0.6698 0.6250 0.5448  2 C 2.49
Ca4 0.8750 0.3302 0.9552  2 C 2.49
C1 0.0000 0.0000 0.0000  4 Ca 2.49
C2 0.7500 0.2500 0.5000  4 Ca 2.49
Se1 0.2500 0.7500 0.5000  4 Ca 2.90
Se2 0.5000 0.5000 0.0000  4 Ca 2.90

Results
**ΔE_f (raw)**: -0.190 eV/atom
**Symmetry**: I-42d

***

Record 3
CaCSe2 | PBE | relaxed

Cell: 6.7619 6.7619 6.7619 Å, 126.71 126.71 78.72°
Closest atoms and distances in Å follow each position.
Atoms (fractional coordinates):
Ca1 0.0000 0.0000 0.0000  4 Se 2.92
Ca2 0.7500 0.2500 0.5000  4 Se 2.92
C1 0.2500 0.7500 0.5000  4 Se 2.20
C2 0.5000 0.5000 0.0000  4 Se 2.20
Se1 0.2260 0.6250 0.1010  2 C 2.20
Se2 0.3750 0.4760 0.6010  2 C 2.20
Se3 0.5240 0.1250 0.8990  2 C 2.20
Se4 0.8750 0.7740 0.3990  2 C 2.20

Results
**ΔE_f (raw)**: 0.229 eV/atom
**Symmetry**: I-42d

***

Record 4
Ca2TcCSe | PBE | relaxed

Cell: 5.0487 5.0487 3.9605 Å, 90.00 90.00 90.00°
Closest atoms and distances in Å follow each position.
Atoms (fractional coordinates):
Ca1 0.0000 0.5000 0.0000  2 C 2.52
Ca2 0.5000 0.0000 0.0000  2 C 2.52
Tc1 0.0000 0.0000 0.5000  2 C 1.98
C1 0.0000 0.0000 0.0000  2 Tc 1.98
Se1 0.5000 0.5000 0.5000  8 Ca 3.21, 4 Tc 3.57

Results
**ΔE_f (raw)**: -0.311 eV/atom
**Symmetry**: P4/mmm

***

Record 5
CaSi3C | PBE | relaxed

Cell: 5.3573 5.3573 5.3573 Å, 90.00 90.00 90.00°
Closest atoms and distances in Å follow each position.
Atoms (fractional coordinates):
Ca1 0.0000 0.0000 0.0000  6 Si 2.68
Si1 0.0000 0.0000 0.5000  2 Ca 2.68
Si2 0.0000 0.5000 0.0000  2 Ca 2.68
Si3 0.5000 0.0000 0.0000  2 Ca 2.68
C1 0.5000 0.5000 0.5000  12 Si 3.79

Results
**Energy above the most stable polymorph in this dataset**: 202.5 kJ per mole of atoms
**ΔE_f (raw)**: 2.816 eV/atom
**Symmetry**: Pm-3m

***

Record 6
Ca3SiC | PBE | relaxed

Cell: 4.9463 4.9463 4.9463 Å, 90.00 90.00 90.00°
Closest atoms and distances in Å follow each position.
Atoms (fractional coordinates):
Ca1 0.0000 0.0000 0.5000  2 C 2.47
Ca2 0.0000 0.5000 0.0000  2 C 2.47
Ca3 0.5000 0.0000 0.0000  2 C 2.47
Si1 0.5000 0.5000 0.5000  12 Ca 3.50
C1 0.0000 0.0000 0.0000  6 Ca 2.47

Results
**Energy above the most stable polymorph in this dataset**: 0.0 kJ per mole of atoms
**ΔE_f (raw)**: 0.109 eV/atom
**Symmetry**: Pm-3m

***

Record 7
CaSi3C | PBE | relaxed

Cell: 4.2879 4.2879 4.2879 Å, 90.00 90.00 90.00°
Closest atoms and distances in Å follow each position.
Atoms (fractional coordinates):
Ca1 0.0000 0.0000 0.0000  12 Si 3.03
Si1 0.0000 0.5000 0.5000  2 C 2.14
Si2 0.5000 0.0000 0.5000  2 C 2.14
Si3 0.5000 0.5000 0.0000  2 C 2.14
C1 0.5000 0.5000 0.5000  6 Si 2.14

Results
**Energy above the most stable polymorph in this dataset**: 0.0 kJ per mole of atoms
**ΔE_f (raw)**: 0.718 eV/atom
**Symmetry**: Pm-3m

***

Record 8
CaSi2Tc2C | PBE | relaxed

Cell: 4.1455 4.1455 5.3315 Å, 90.00 90.00 90.00°
Closest atoms and distances in Å follow each position.
Atoms (fractional coordinates):
Ca1 0.0000 0.0000 0.0000  2 C 2.67
Si1 0.5000 0.5000 0.2253  1 Si 2.40, 4 Tc 2.54
Si2 0.5000 0.5000 0.7747  1 Si 2.40, 4 Tc 2.54
Tc1 0.0000 0.5000 0.5000  2 C 2.07
Tc2 0.5000 0.0000 0.5000  2 C 2.07
C1 0.0000 0.0000 0.5000  4 Tc 2.07

Results
**ΔE_f (raw)**: -0.345 eV/atom
**Symmetry**: P4/mmm

***

Record 9
Ca2Si2Tc2C | PBE | relaxed

Cell: 5.9272 5.9272 7.2368 Å, 127.11 127.11 39.88°
Closest atoms and distances in Å follow each position.
Atoms (fractional coordinates):
Ca1 0.0742 0.0742 0.3029  2 C 2.69
Ca2 0.9258 0.9258 0.6971  2 C 2.69
Si1 0.3546 0.3546 0.3008  3 Tc 2.44-2.45, 1 Si 2.61
Si2 0.6454 0.6454 0.6992  3 Tc 2.44-2.45, 1 Si 2.61
Tc1 0.2970 0.2970 0.9121  1 C 1.92
Tc2 0.7030 0.7030 0.0879  1 C 1.92
C1 0.5000 0.5000 0.0000  2 Tc 1.92

Results
**ΔE_f (raw)**: -0.440 eV/atom
**Symmetry**: C2/m

***

Record 10
CaYSiC2 | PBE | relaxed

Cell: 4.4198 4.4198 5.0140 Å, 90.00 90.00 90.00°
Closest atoms and distances in Å follow each position.
Atoms (fractional coordinates):
Ca1 0.0000 0.0000 0.0000  4 C 2.21
Y1 0.5000 0.5000 0.5000  4 Si 3.13, 8 C 3.34
Si1 0.0000 0.0000 0.5000  2 Ca 2.51
C1 0.0000 0.5000 0.0000  2 Ca 2.21
C2 0.5000 0.0000 0.0000  2 Ca 2.21

Results
**ΔE_f (raw)**: 1.796 eV/atom
**Symmetry**: P4/mmm

***

Record 11
CaZnSi2C | PBE | relaxed

Cell: 5.4101 5.4101 4.3304 Å, 90.00 90.00 90.00°
Closest atoms and distances in Å follow each position.
Atoms (fractional coordinates):
Ca1 0.0000 0.0000 0.0000  2 C 2.17
Zn1 0.5000 0.5000 0.5000  8 Si 3.46, 4 C 3.83
Si1 0.0000 0.5000 0.0000  2 Ca 2.71
Si2 0.5000 0.0000 0.0000  2 Ca 2.71
C1 0.0000 0.0000 0.5000  2 Ca 2.17

Results
**ΔE_f (raw)**: 2.050 eV/atom
**Symmetry**: P4/mmm

***

Record 12
CaSm2C | PBE | relaxed

Cell: 10.2971 10.2971 10.2971 Å, 20.52 20.52 20.52°
Closest atoms and distances in Å follow each position.
Atoms (fractional coordinates):
Ca1 0.0000 0.0000 0.0000  2 Sm 3.66, 6 Ca 3.67
Sm1 0.1210 0.1210 0.1210  3 C 2.53
Sm2 0.8790 0.8790 0.8790  3 C 2.53
C1 0.5000 0.5000 0.5000  6 Sm 2.53

Results
**Energy above the most stable polymorph in this dataset**: 6.3 kJ per mole of atoms
**Symmetry**: R-3m
**ΔE_f**: -39.1 meV per atom

***

> What is the formula in the fifth record?

CaSi3C